Density functional theory data (PBE) for a relaxed PuSc2In crystal.

Cell lengths 3.2766, 3.2766, 10.5877 Å; angles 81.10, 81.10, 60.00 degrees
With the nearest neighbours (Å) after each atom.
Positions (direct):
Sc 0.2484 0.2484 0.2549  3 In 3.18, 3 Pu 3.26, 6 Sc 3.28
In 0.5000 0.5000 0.5000  6 Sc 3.18, 6 In 3.28
Pu 0.0000 0.0000 0.0000  6 Sc 3.26, 6 Pu 3.28
Sc 0.7516 0.7516 0.7451  3 In 3.18, 3 Pu 3.26, 6 Sc 3.28

Properties
**Total energy**: -7.513 eV per atom
**ρ**: 7.7 g/cm3
**Relative energy among the computed polymorphs**: 0.085 eV/atom
**N(E_F)**: 10.159 states/eV/cell
**Energy relative to the elements**: -0.32 eV/f.u.
**Space-group type**: R-3m